A relaxed structure of CuN2Cl2, computed with PBE-GGA.

a b c (Å): 3.6652 3.6652 18.4805
angles (deg): 91.15 91.15 89.64
Fractional coordinates of all 10 atoms:
Cu 0.0987 0.9013 0.7500
Cu 0.9013 0.0987 0.2500
N 0.0647 0.4361 0.9758
N 0.4361 0.0647 0.4758
N 0.5639 0.9353 0.5242
N 0.9353 0.5639 0.0242
Cl 0.0907 0.3945 0.6790
Cl 0.3945 0.0907 0.1790
Cl 0.6055 0.9093 0.8210
Cl 0.9093 0.6055 0.3210

Properties
As for the size of the total moment: 1.79 Bohr magnetons per cell. The density of states at the Fermi level is 0.795 states/eV/atom. The density is 2174 kg/m3. As for the raw formation energy: -0.254 eV per atom.

---

A relaxed structure of K2CaPt, computed with PBE-GGA.

a b c (Å): 10.2713 10.2713 10.2713
angles (deg): 158.90 155.08 32.87
Fractional coordinates of all 4 atoms:
K 0.1537 0.1537 0.0000
K 0.8463 0.8463 0.0000
Ca 0.5000 0.0000 0.5000
Pt 0.0000 0.5000 0.5000

Properties
As for the size of the total moment: 0.00 Bohr magnetons per cell. The calculation puts the energy of formation at -239 meV/atom. The density of states at the Fermi level is 0.530 states/eV/atom. The value obtained for the polymorph energy (0 for the lowest one) is 0.0171 eV/atom. The density is 3169 kg/m3.

---

A relaxed structure of Pu2SnPd5, computed with PBE-GGA.

a b c (Å): 5.9487 5.9487 5.9487
angles (deg): 115.57 115.57 97.87
Fractional coordinates of all 8 atoms:
Pu 0.0000 0.5000 0.5000
Pu 0.5000 0.0000 0.5000
Sn 0.3711 0.3711 0.0000
Pd 0.0129 0.0129 0.0000
Pd 0.5199 0.5199 0.5643
Pd 0.5199 0.9556 0.0000
Pd 0.9556 0.5199 0.0000
Pd 0.9556 0.9556 0.4357

Properties
As for the size of the total moment: 10.21 Bohr magnetons per cell. The calculation puts the energy of formation at -469 meV/atom. The density of states at the Fermi level is 3.746 states/eV/atom. The density is 12028 kg/m3.

---

A relaxed structure of AgAuS, computed with PBE-GGA.

a b c (Å): 4.4809 4.4185 4.4185
angles (deg): 60.95 90.00 90.00
Fractional coordinates of all 3 atoms:
Ag 0.0000 0.0000 0.0000
Au 0.5000 0.7421 0.7421
S 0.0000 0.6540 0.6540

Properties
As for the size of the total moment: 0.00 Bohr magnetons per cell. The density is 7315 kg/m3. As for the raw formation energy: 0.051 eV per atom.

---

A relaxed structure of La9Tb4Ce, computed with PBE-GGA.

a b c (Å): 10.1032 10.1032 11.2915
angles (deg): 90.00 90.00 120.00
Fractional coordinates of all 28 atoms:
La 0.0716 0.5358 0.2500
La 0.2096 0.4192 0.5431
La 0.2096 0.4192 0.9569
La 0.2096 0.7904 0.5431
La 0.2096 0.7904 0.9569
La 0.4192 0.2096 0.0431
La 0.4192 0.2096 0.4569
La 0.4642 0.5358 0.2500
La 0.4642 0.9284 0.2500
La 0.5358 0.0716 0.7500
La 0.5358 0.4642 0.7500
La 0.5808 0.7904 0.5431
La 0.5808 0.7904 0.9569
La 0.7904 0.2096 0.0431
La 0.7904 0.2096 0.4569
La 0.7904 0.5808 0.0431
La 0.7904 0.5808 0.4569
La 0.9284 0.4642 0.7500
Tb 0.0000 0.0000 0.0000
Tb 0.0000 0.0000 0.5000
Tb 0.1102 0.2205 0.2500
Tb 0.1102 0.8898 0.2500
Tb 0.2205 0.1102 0.7500
Tb 0.7795 0.8898 0.2500
Tb 0.8898 0.1102 0.7500
Tb 0.8898 0.7795 0.7500
Ce 0.3333 0.6667 0.7500
Ce 0.6667 0.3333 0.2500

Properties
As for the size of the total moment: 0.08 Bohr magnetons per cell. The calculation puts the energy of formation at 135 meV/atom. The density of states at the Fermi level is 2.043 states/eV/atom. The density is 6741 kg/m3.

---

A relaxed structure of Nd2IO5, computed with PBE-GGA.

a b c (Å): 3.8985 5.5726 6.7368
angles (deg): 109.66 103.36 92.46
Fractional coordinates of all 8 atoms:
Nd 0.0000 0.0000 0.0000
Nd 0.3309 0.3777 0.6600
I 0.6786 0.6775 0.3268
O 0.0843 0.9413 0.3764
O 0.2848 0.3906 0.2940
O 0.4757 0.7755 0.9739
O 0.8483 0.6679 0.6155
O 0.8656 0.2553 0.7952

Properties
As for the size of the total moment: 0.00 Bohr magnetons per cell. The density of states at the Fermi level is 0.163 states/eV/atom. The density is 6188 kg/m3. As for the raw formation energy: -2.156 eV per atom.